Material: PmTmBr2
Method: DFT, PBE
State: relaxed

## Properties
Magnetization = 0.00 μB per cell
Formation energy (no corrections) = -1.034 eV per atom
Calculated volume = 357 Å³ per cell

abc: 3.7028 3.7028 30.0346
angles: 90.00 90.00 120.00
With the nearest neighbours (Å) after each atom.
Space group R-3m (No. 166, hexagonal axes)
Symmetry-distinct sites (fractional):
Pm  0.0000  0.0000  0.0000 x3  6 Br 3.05
Tm  0.0000  0.0000  0.5000 x3  2 Br 2.83
Br  0.0000  0.0000  0.4058 x6  1 Tm 2.83, 3 Pm 3.05



Material: PmTmBr6
Method: DFT, PBE
State: relaxed

## Properties
Magnetization = 0.00 μB per cell
Formation energy (no corrections) = -1.835 eV per atom
Calculated volume = 640 Å³ per cell

abc: 7.0116 13.6173 7.0109
angles: 90.00 107.01 90.00
With the nearest neighbours (Å) after each atom.
Space group C2/m (No. 12)
Symmetry-distinct sites (fractional):
Pm  0.0000  0.0000  0.0000 x2  6 Br 2.87-2.90
Tm  0.0000  0.5000  0.5000 x2  6 Br 2.77-2.78
Br  0.2403  0.3585  0.7407 x8  1 Tm 2.78, 1 Pm 2.90
Br  0.2461  0.5000  0.2552 x4  1 Tm 2.77, 1 Pm 2.87



Material: Pm2TmBr
Method: DFT, PBE
State: relaxed

## Properties
Magnetization = 0.00 μB per cell
Formation energy (no corrections) = -0.537 eV per atom
Calculated volume = 369 Å³ per cell

abc: 3.6804 3.6804 31.4460
angles: 90.00 90.00 120.00
With the nearest neighbours (Å) after each atom.
Space group R-3m (No. 166, hexagonal axes)
Symmetry-distinct sites (fractional):
Pm  0.0000  0.0000  0.2431 x6  3 Br 3.21, 3 Tm 3.55
Tm  0.0000  0.0000  0.0000 x3  6 Pm 3.55, 6 Tm 3.68
Br  0.0000  0.0000  0.5000 x3  6 Pm 3.21



Material: PmVBr2
Method: DFT, PBE
State: relaxed

## Properties
Magnetization = 11.83 μB per cell
Formation energy (no corrections) = -0.355 eV per atom
Calculated volume = 342 Å³ per cell

abc: 3.7872 3.7872 27.5155
angles: 90.00 90.00 120.00
With the nearest neighbours (Å) after each atom.
Space group R-3m (No. 166, hexagonal axes)
Symmetry-distinct sites (fractional):
Pm  0.0000  0.0000  0.0000 x3  2 Br 3.07
V  0.0000  0.0000  0.5000 x3  6 Br 2.66
Br  0.0000  0.0000  0.1116 x6  3 V 2.66



Material: PmV2Br8
Method: DFT, PBE
State: relaxed

## Properties
Magnetization = 10.00 μB per cell
Formation energy (no corrections) = -1.060 eV per atom
Calculated volume = 904 Å³ per cell

abc: 12.9733 10.4213 6.7111
angles: 90.00 95.13 90.00
With the nearest neighbours (Å) after each atom.
Space group C2/m (No. 12)
Symmetry-distinct sites (fractional):
Pm  0.0000  0.0000  0.0000 x2  6 Br 2.90-2.91
V  0.2037  0.0000  0.6571 x4  4 Br 2.35-2.50
Br  0.1014  0.1855  0.7612 x8  1 V 2.48
Br  0.1262  0.5000  0.1910 x4  1 V 2.35
Br  0.1840  0.0000  0.2827 x4  1 V 2.50



Material: Pm2YBr8
Method: DFT, PBE
State: relaxed

## Properties
Magnetization = 1.96 μB per cell
Formation energy (no corrections) = -1.674 eV per atom
Calculated volume = 983 Å³ per cell

abc: 18.7960 7.6754 6.8942
angles: 90.00 98.81 90.00
With the nearest neighbours (Å) after each atom.
Space group C2/m (No. 12)
Symmetry-distinct sites (fractional):
Pm  0.1470  0.0000  0.4488 x4  4 Br 2.73-2.84
Y  0.0000  0.0000  0.0000 x2  6 Br 2.84-2.89
Br  0.0556  0.2621  0.2720 x8  1 Pm 2.80, 1 Y 2.84
Br  0.1365  0.0000  0.8550 x4  1 Pm 2.84, 1 Y 2.89
Br  0.2138  0.5000  0.6186 x4  1 Pm 2.73



Material: PmYBr2
Method: DFT, PBE
State: relaxed

## Properties
Magnetization = 0.00 μB per cell
Formation energy (no corrections) = -1.078 eV per atom
Calculated volume = 248 Å³ per cell

abc: 3.7302 9.3900 7.0737
angles: 90.00 90.00 90.00
With the nearest neighbours (Å) after each atom.
Space group Pmn2_1 (No. 31)
Symmetry-distinct sites (fractional):
Pm  0.0000  0.0772  0.0000 x2  4 Br 2.93-3.24
Y  0.0000  0.7054  0.8142 x2  4 Br 2.84-3.10
Br  0.0000  0.4213  0.0384 x2  3 Y 2.95-3.10, 1 Pm 3.24
Br  0.0000  0.8015  0.1950 x2  1 Y 2.84, 3 Pm 2.93-3.07



Material: PmYBr2
Method: DFT, PBE
State: relaxed

## Properties
Magnetization = 0.00 μB per cell
Formation energy (no corrections) = -1.054 eV per atom
Calculated volume = 363 Å³ per cell

abc: 3.7252 3.7252 30.2243
angles: 90.00 90.00 120.00
With the nearest neighbours (Å) after each atom.
Space group R-3m (No. 166, hexagonal axes)
Symmetry-distinct sites (fractional):
Pm  0.0000  0.0000  0.0000 x3  6 Br 3.05
Y  0.0000  0.0000  0.5000 x3  2 Br 2.88
Br  0.0000  0.0000  0.4048 x6  1 Y 2.88, 3 Pm 3.05



Material: PmY2Br
Method: DFT, PBE
State: relaxed

## Properties
Magnetization = 0.01 μB per cell
Formation energy (no corrections) = -0.247 eV per atom
Calculated volume = 369 Å³ per cell

abc: 3.5177 3.5177 34.4098
angles: 90.00 90.00 120.00
With the nearest neighbours (Å) after each atom.
Space group R-3m (No. 166, hexagonal axes)
Symmetry-distinct sites (fractional):
Pm  0.0000  0.0000  0.0000 x3  2 Y 3.39, 6 Pm 3.52
Y  0.0000  0.0000  0.0985 x6  3 Br 3.10, 1 Pm 3.39
Br  0.0000  0.0000  0.5000 x3  6 Y 3.10



Material: Pm2YBr6
Method: DFT, PBE
State: relaxed

## Properties
Magnetization = 3.01 μB per cell
Formation energy (no corrections) = -1.458 eV per atom
Calculated volume = 878 Å³ per cell

abc: 7.5508 7.5508 17.7826
angles: 90.00 90.00 120.00
With the nearest neighbours (Å) after each atom.
Space group R3 (No. 146, hexagonal axes)
Symmetry-distinct sites (fractional):
Pm  0.0000  0.0000  0.0000 x3  6 Br 2.92-3.17
Pm  0.0000  0.0000  0.2228 x3  6 Br 2.95-3.14
Y  0.0000  0.0000  0.4589 x3  6 Br 2.88-2.90
Br  0.0296  0.3988  0.0172 x9  1 Y 2.90, 2 Pm 2.92-3.14
Br  0.0690  0.7027  0.5351 x9  1 Y 2.88, 2 Pm 2.95-3.17



Material: Pm2YBr5
Method: DFT, PBE
State: relaxed

## Properties
Magnetization = 8.75 μB per cell
Formation energy (no corrections) = -1.260 eV per atom
Calculated volume = 1188 Å³ per cell

abc: 12.8278 13.0430 7.0976
angles: 90.00 90.00 90.00
With the nearest neighbours (Å) after each atom.
Space group Pnnm (No. 58)
Symmetry-distinct sites (fractional):
Pm  0.0000  0.0000  0.2469 x4  6 Br 2.98-3.01
Pm  0.1024  0.4007  0.5000 x4  5 Br 2.98-3.15
Y  0.2117  0.3016  0.0000 x4  4 Br 2.78-2.92
Br  0.0654  0.2196  0.2533 x8  1 Y 2.81, 2 Pm 2.98
Br  0.1414  0.6306  0.5000 x4  1 Y 2.92, 2 Pm 3.04-3.15
Br  0.1632  0.9047  0.0000 x4  3 Pm 3.00-3.01
Br  0.1882  0.9906  0.5000 x4  1 Y 2.78, 2 Pm 3.01



Material: Pm2YBr
Method: DFT, PBE
State: relaxed

## Properties
Magnetization = 0.00 μB per cell
Formation energy (no corrections) = -0.466 eV per atom
Calculated volume = 124 Å³ per cell

abc: 3.5789 3.5789 9.6910
angles: 90.00 90.00 90.00
With the nearest neighbours (Å) after each atom.
Space group P4/mmm (No. 123)
Symmetry-distinct sites (fractional):
Pm  0.0000  0.0000  0.2335 x2  4 Br 3.39, 4 Pm 3.58, 4 Y 3.62
Y  0.5000  0.5000  0.5000 x1  4 Y 3.58, 8 Pm 3.62
Br  0.5000  0.5000  0.0000 x1  8 Pm 3.39, 4 Br 3.58